[1]
This record from Alexandria describes BaPPt2 after structural relaxation. The functional is PBE.

Volume in Å³/cell: 190
DFT formation energy in meV/atom: -745
DFT total energy in eV per atom: -5.598
Fermi-level density of states in states/eV/atom: 0.13

a b c (Å): 9.2024 3.8226 5.6794
angles (deg): 90.00 107.80 90.00
Last column: nearest neighbours and their distance in Å.
Space group Cm (No. 8)
One atom of each set of equivalent atoms:
Ba 0.0000 0.0000 0.0000 (multiplicity 2)  6 Pt 3.20-3.52, 4 P 3.28-3.56
P 0.2058 0.0000 0.5844 (multiplicity 2)  4 Pt 2.35-2.55
Pt 0.0134 0.5000 0.4861 (multiplicity 2)  2 P 2.55, 3 Pt 2.71-2.72
Pt 0.2959 0.5000 0.4318 (multiplicity 2)  2 P 2.35

***

[2]
This record from Alexandria describes Ba2PPt after structural relaxation. The functional is PBE.

Volume in Å³/cell: 243
DFT formation energy in meV/atom: -849
DFT total energy in eV per atom: -4.673
Fermi-level density of states in states/eV/atom: 0.88

a b c (Å): 6.0304 4.4943 9.1571
angles (deg): 90.00 101.78 90.00
Last column: nearest neighbours and their distance in Å.
Space group P2_1/m (No. 11)
One atom of each set of equivalent atoms:
Ba 0.2185 0.2500 0.4182 (multiplicity 2)  4 P 3.21-3.55, 3 Pt 3.23-3.53
Ba 0.2752 0.7500 0.0682 (multiplicity 2)  3 P 3.21-3.59, 4 Pt 3.24-3.51
P 0.3144 0.7500 0.7244 (multiplicity 2)  2 Pt 2.42
Pt 0.1957 0.2500 0.7677 (multiplicity 2)  2 P 2.42

***

[3]
This record from Alexandria describes Ba2PPt after structural relaxation. The functional is PBE.

Volume in Å³/cell: 525
DFT formation energy in meV/atom: -420
DFT total energy in eV per atom: -4.244
Fermi-level density of states in states/eV/atom: 0.48

a b c (Å): 8.4645 8.4645 7.3323
angles (deg): 90.00 90.00 90.00
Last column: nearest neighbours and their distance in Å.
Space group I-42d (No. 122)
One atom of each set of equivalent atoms:
Ba 0.2455 0.2500 0.1250 (multiplicity 8)  2 Pt 3.10, 2 P 3.16
P 0.0000 0.0000 0.5000 (multiplicity 4)  4 Ba 3.16
Pt 0.0000 0.0000 0.0000 (multiplicity 4)  4 Ba 3.10

***

[4]
This record from Alexandria describes BaP2Pt after structural relaxation. The functional is PBE.

Volume in Å³/cell: 339
DFT formation energy in meV/atom: 135
DFT total energy in eV per atom: -4.561
Fermi-level density of states in states/eV/atom: 1.14

a b c (Å): 6.9709 6.9709 6.9709
angles (deg): 90.00 90.00 90.00
Last column: nearest neighbours and their distance in Å.
Space group Fm-3m (No. 225)
One atom of each set of equivalent atoms:
Ba 0.0000 0.0000 0.0000 (multiplicity 4)  8 P 3.02
P 0.2500 0.2500 0.2500 (multiplicity 8)  4 Ba 3.02, 4 Pt 3.02
Pt 0.0000 0.0000 0.5000 (multiplicity 4)  8 P 3.02

***

[5]
This record from Alexandria describes Ba2P3Pt after structural relaxation. The functional is PBE.

Volume in Å³/cell: 1254
DFT formation energy in meV/atom: -860
DFT total energy in eV per atom: -5.213
Fermi-level density of states in states/eV/atom: 0.45

a b c (Å): 9.2576 9.2758 14.6015
angles (deg): 90.00 90.00 90.00
Last column: nearest neighbours and their distance in Å.
Space group Fmmm (No. 69)
One atom of each set of equivalent atoms:
Ba 0.2194 0.0000 0.0000 (multiplicity 8)  10 P 3.27-3.55, 2 Pt 3.57
Ba 0.2500 0.2500 0.2500 (multiplicity 8)  8 P 3.45-3.48, 4 Pt 3.49
P 0.0000 0.0000 0.1757 (multiplicity 8)  1 Pt 2.29
P 0.0000 0.2082 0.4258 (multiplicity 16)  1 P 2.17, 1 Pt 2.36
Pt 0.0000 0.0000 0.3328 (multiplicity 8)  3 P 2.29-2.36

***

[6]
This record from Alexandria describes BaP2Pt after structural relaxation. The functional is PBE.

Volume in Å³/cell: 231
DFT formation energy in meV/atom: -377
DFT total energy in eV per atom: -5.073
Fermi-level density of states in states/eV/atom: 0.87

a b c (Å): 4.0994 8.0605 6.9994
angles (deg): 90.00 90.00 90.00
Last column: nearest neighbours and their distance in Å.
Space group Cmmm (No. 65)
One atom of each set of equivalent atoms:
Ba 0.0000 0.0000 0.0000 (multiplicity 2)  4 P 3.10
P 0.0000 0.5000 0.3318 (multiplicity 4)  1 P 2.35, 2 Pt 2.36
Pt 0.0000 0.0000 0.5000 (multiplicity 2)  4 P 2.36

***

[7]
This record from Alexandria describes BaPPt after structural relaxation. The functional is PBE.

Volume in Å³/cell: 289
DFT formation energy in meV/atom: -1090
DFT total energy in eV per atom: -5.548
Fermi-level density of states in states/eV/atom: 0.21

a b c (Å): 6.6137 6.6137 6.6137
angles (deg): 90.00 90.00 90.00
Last column: nearest neighbours and their distance in Å.
Space group P2_13 (No. 198)
One atom of each set of equivalent atoms:
Ba 0.1410 0.1410 0.1410 (multiplicity 4)  4 P 3.16-3.30, 4 Pt 3.34-3.52
P 0.0834 0.5834 0.9166 (multiplicity 4)  3 Pt 2.38
Pt 0.1510 0.3490 0.6510 (multiplicity 4)  3 P 2.38

***

[8]
This record from Alexandria describes Ba2PPt after structural relaxation. The functional is PBE.

Volume in Å³/cell: 432
DFT formation energy in meV/atom: -262
DFT total energy in eV per atom: -4.086
Fermi-level density of states in states/eV/atom: 0.86

a b c (Å): 7.5622 7.5622 7.5622
angles (deg): 90.00 90.00 90.00
Last column: nearest neighbours and their distance in Å.
Space group F-43m (No. 216)
One atom of each set of equivalent atoms:
Ba 0.0000 0.0000 0.0000 (multiplicity 4)  4 Ba 3.27, 4 Pt 3.27
Ba 0.2500 0.2500 0.2500 (multiplicity 4)  4 Ba 3.27, 4 P 3.27
P 0.0000 0.0000 0.5000 (multiplicity 4)  4 Ba 3.27, 4 Pt 3.27
Pt 0.2500 0.2500 0.7500 (multiplicity 4)  4 Ba 3.27, 4 P 3.27

***

[9]
This record from Alexandria describes BaPPt2 after structural relaxation. The functional is PBE.

Volume in Å³/cell: 377
DFT formation energy in meV/atom: -889
DFT total energy in eV per atom: -5.743
Fermi-level density of states in states/eV/atom: 0.35

a b c (Å): 7.8085 4.4372 10.8693
angles (deg): 90.00 90.00 90.00
Last column: nearest neighbours and their distance in Å.
Space group Pnma (No. 62)
One atom of each set of equivalent atoms:
Ba 0.1603 0.2500 0.1230 (multiplicity 4)  9 Pt 3.29-3.63, 3 P 3.43-3.47
P 0.0907 0.7500 0.3585 (multiplicity 4)  5 Pt 2.33-2.51
Pt 0.0723 0.2500 0.4422 (multiplicity 4)  3 P 2.40-2.51
Pt 0.1260 0.2500 0.7902 (multiplicity 4)  2 P 2.33-2.34

***

[10]
This record from Alexandria describes BaP3Pt3 after structural relaxation. The functional is PBE.

Volume in Å³/cell: 295
DFT formation energy in meV/atom: -757
DFT total energy in eV per atom: -5.939
Fermi-level density of states in states/eV/atom: 0.68

a b c (Å): 6.6565 6.6565 6.6565
angles (deg): 90.00 90.00 90.00
Last column: nearest neighbours and their distance in Å.
Space group Pm-3n (No. 223)
One atom of each set of equivalent atoms:
Ba 0.0000 0.0000 0.0000 (multiplicity 2)  12 Pt 3.72, 12 P 3.72
P 0.0000 0.2500 0.5000 (multiplicity 6)  4 Pt 2.35
Pt 0.0000 0.5000 0.2500 (multiplicity 6)  4 P 2.35

***

[11]
This record from Alexandria describes BaP2Pt5 after structural relaxation. The functional is PBE.

Volume in Å³/cell: 288
DFT formation energy in meV/atom: -580
DFT total energy in eV per atom: -5.948
Fermi-level density of states in states/eV/atom: 0.73

a b c (Å): 4.2474 7.0039 9.6908
angles (deg): 90.00 90.00 90.00
Last column: nearest neighbours and their distance in Å.
Space group Immm (No. 71)
One atom of each set of equivalent atoms:
Ba 0.0000 0.0000 0.0000 (multiplicity 2)  4 P 3.28, 14 Pt 3.35-3.61
P 0.0000 0.5000 0.2416 (multiplicity 4)  3 Pt 2.33-2.34
Pt 0.0000 0.1990 0.3440 (multiplicity 8)  1 P 2.33
Pt 0.0000 0.5000 0.0000 (multiplicity 2)  2 P 2.34